Entry 1:
Material: Ac12AlSi7
Method: DFT, PBE
State: relaxed

The space group is R-3 (No. 148, hexagonal axes) and the conventional cell measures 15.9411, 15.9411 and 9.4670 Å, with angles of 90.00, 90.00 and 120.00 degrees. The inequivalent atoms are Ac at (0.0192, 0.4369, 0.3296), Ac at (0.0438, 0.1712, 0.2779), Al at (0.0000, 0.0000, 0.0000), Si at (0.0000, 0.0000, 0.5000) and Si at (0.0450, 0.1752, 0.9286).

---

Entry 2:
Material: Cr3BW
Method: DFT, PBE
State: relaxed

The space group is Pm-3m (No. 221) and the conventional cell measures 4.6484, 4.6484 and 4.6484 Å, with angles of 90.00, 90.00 and 90.00 degrees. The inequivalent atoms are Cr at (0.0000, 0.0000, 0.5000), B at (0.5000, 0.5000, 0.5000) and W at (0.0000, 0.0000, 0.0000).

For the formation energy, the calculation gives 2372 meV per atom.

---

Entry 3:
Material: TaTl2PdS4
Method: DFT, PBE
State: relaxed

The space group is Fddd (No. 70, origin choice 2) and the conventional cell measures 5.8269, 12.9252 and 23.0153 Å, with angles of 90.00, 90.00 and 90.00 degrees. The inequivalent atoms are Ta at (0.1250, 0.1250, 0.1250), Tl at (0.1250, 0.1250, 0.2984), Pd at (0.1250, 0.1250, 0.6250) and S at (0.1032, 0.2742, 0.4336).

---

Entry 4:
Material: LaPrDyHg
Method: DFT, PBE
State: relaxed

The space group is P4mm (No. 99) and the conventional cell measures 3.7428, 3.7428 and 8.8972 Å, with angles of 90.00, 90.00 and 90.00 degrees. The inequivalent atoms are La at (0.0000, 0.0000, 0.0000), Pr at (0.5000, 0.5000, 0.7098), Dy at (0.5000, 0.5000, 0.2772) and Hg at (0.0000, 0.0000, 0.4740).

For the formation energy, the calculation gives -232 meV per atom.

---

Entry 5:
Material: AlZnAsCl2
Method: DFT, PBE
State: relaxed

The space group is P4/mmm (No. 123) and the conventional cell measures 4.5660, 4.5660 and 5.3759 Å, with angles of 90.00, 90.00 and 90.00 degrees. The inequivalent atoms are Al at (0.0000, 0.0000, 0.0000), Zn at (0.5000, 0.5000, 0.5000), As at (0.0000, 0.0000, 0.5000) and Cl at (0.0000, 0.5000, 0.0000).

---

Entry 6:
Material: Li6HgBi3
Method: DFT, PBE
State: relaxed

The space group is Cmc2_1 (No. 36) and the conventional cell measures 10.3547, 15.4559 and 5.7003 Å, with angles of 90.00, 90.00 and 90.00 degrees. The inequivalent atoms are Li at (0.0000, 0.0612, 0.0000), Li at (0.0000, 0.2667, 0.3183), Li at (0.2237, 0.4994, 0.2586), Li at (0.2480, 0.1861, 0.0247), Hg at (0.0000, 0.2833, 0.8598), Bi at (0.0000, 0.4443, 0.5021) and Bi at (0.1520, 0.1313, 0.5123).

For the formation energy, the calculation gives -369 meV per atom.

---

Entry 7:
Material: La2YHoSe4
Method: DFT, PBE
State: relaxed

The space group is P2/m (No. 10) and the conventional cell measures 7.1919, 4.1247 and 7.4079 Å, with angles of 90.00, 108.70 and 90.00 degrees. The inequivalent atoms are La at (0.0000, 0.0000, 0.0000), La at (0.5000, 0.5000, 0.0000), Y at (0.0000, 0.5000, 0.5000), Ho at (0.5000, 0.0000, 0.5000), Se at (0.2448, 0.0000, 0.7306) and Se at (0.2584, 0.5000, 0.2704).

---

Entry 8:
Material: Ho5PS5
Method: DFT, PBE
State: relaxed

The space group is C2/m (No. 12) and the conventional cell measures 12.3560, 5.5143 and 7.8070 Å, with angles of 90.00, 108.47 and 90.00 degrees. The inequivalent atoms are Ho at (0.0000, 0.0000, 0.0000), Ho at (0.1598, 0.5000, 0.8267), Ho at (0.1639, 0.5000, 0.3341), P at (0.0000, 0.5000, 0.0000), S at (0.0000, 0.5000, 0.5000), S at (0.1695, 0.0000, 0.3325) and S at (0.1711, 0.0000, 0.8392).

---

Entry 9:
Material: FeCoRe
Method: DFT, PBE
State: relaxed

The space group is F-43m (No. 216) and the conventional cell measures 5.5435, 5.5435 and 5.5435 Å, with angles of 90.00, 90.00 and 90.00 degrees. The inequivalent atoms are Fe at (0.0000, 0.0000, 0.0000), Co at (0.2500, 0.2500, 0.7500) and Re at (0.0000, 0.0000, 0.5000).

For the formation energy, the calculation gives 575 meV per atom.

---

Entry 10:
Material: CoAsP2
Method: DFT, PBE
State: relaxed

The space group is Immm (No. 71) and the conventional cell measures 2.7527, 4.3194 and 10.0773 Å, with angles of 90.00, 90.00 and 90.00 degrees. The inequivalent atoms are Co at (0.0000, 0.0000, 0.0000), As at (0.0000, 0.0000, 0.5000) and P at (0.0000, 0.5000, 0.3158).

For the formation energy, the calculation gives 263 meV per atom.

---

Entry 11:
Material: Sm4MoN5
Method: DFT, PBE
State: relaxed

The space group is I4 (No. 79) and the conventional cell measures 7.6978, 7.6978 and 5.0932 Å, with angles of 90.00, 90.00 and 90.00 degrees. The inequivalent atoms are Sm at (0.1065, 0.3052, 0.0000), Mo at (0.0000, 0.0000, 0.4386), N at (0.0000, 0.0000, 0.0755) and N at (0.0933, 0.2761, 0.4940).

---

Entry 12:
Material: BaCd6Hg
Method: DFT, PBE
State: relaxed

The space group is P4/mmm (No. 123) and the conventional cell measures 4.8523, 4.8523 and 9.5482 Å, with angles of 90.00, 90.00 and 90.00 degrees. The inequivalent atoms are Ba at (0.0000, 0.0000, 0.0000), Cd at (0.0000, 0.5000, 0.3255), Cd at (0.5000, 0.5000, 0.1494) and Hg at (0.0000, 0.0000, 0.5000).

For the formation energy, the calculation gives -168 meV per atom.

---

Number 1: size of the total moment 0.000 μB/f.u., VASP energy -0.17815 hartree per atom. Number 2: size of the total moment 8.048 μB/f.u., VASP energy -0.26931 hartree per atom. Number 3: size of the total moment 0.001 μB/f.u., VASP energy -0.19768 hartree per atom. Number 4: size of the total moment 0.000 μB/f.u., VASP energy -0.14276 hartree per atom. Number 5: size of the total moment 0.000 μB/f.u., VASP energy -0.10872 hartree per atom. Number 6: size of the total moment 0.000 μB/f.u., VASP energy -0.09967 hartree per atom. Number 7: size of the total moment 0.001 μB/f.u., VASP energy -0.22907 hartree per atom. Number 8: size of the total moment 0.000 μB/f.u., VASP energy -0.23743 hartree per atom. Number 9: size of the total moment 3.550 μB/f.u., VASP energy -0.32207 hartree per atom. Number 10: size of the total moment 0.003 μB/f.u., VASP energy -0.19776 hartree per atom. Number 11: size of the total moment 0.000 μB/f.u., VASP energy -0.30497 hartree per atom. Number 12: size of the total moment 0.000 μB/f.u., VASP energy -0.04160 hartree per atom.